<A>
{
  "formula": "Zn6CuAg2",
  "functional": "PBE",
  "state": "relaxed",
  "lattice": [[-2.3712, -1.6416, -0.7239], [4.3931, -5.2251, -2.5407], [-1.9726, -0.1188, 7.2748]],
  "species": ["Zn", "Zn", "Zn", "Zn", "Zn", "Zn", "Cu", "Ag", "Ag"],
  "frac_coords": [[0.9990, 0.3387, 0.3181], [0.0010, 0.0206, 0.6819], [0.0010, 0.6613, 0.6819], [0.5000, 0.3086, 0.0000], [0.9990, 0.9794, 0.3181], [0.5000, 0.6914, 0.0000], [0.0000, 0.0000, 0.0000], [0.4989, 0.6832, 0.3663], [0.5011, 0.3168, 0.6337]],
  "vol_a3_per_cell": 143,
  "dos_at_fermi_per_ev_fu": 2.64
}

<B>
{
  "formula": "Zn6CuAg2",
  "functional": "PBE",
  "state": "relaxed",
  "lattice": [[4.4780, 0.5561, 1.5677], [2.2824, 7.9603, 2.1774], [1.1287, -0.4978, 8.4731]],
  "species": ["Zn", "Zn", "Zn", "Zn", "Zn", "Zn", "Zn", "Zn", "Zn", "Zn", "Zn", "Zn", "Cu", "Cu", "Ag", "Ag", "Ag", "Ag"],
  "frac_coords": [[0.3109, 0.8036, 0.3810], [0.1891, 0.6190, 0.1964], [0.6891, 0.1964, 0.6190], [0.8109, 0.3810, 0.8036], [0.7397, 0.9710, 0.3205], [0.7603, 0.6795, 0.0290], [0.2603, 0.0290, 0.6795], [0.2397, 0.3205, 0.9710], [0.3241, 0.7309, 0.8726], [0.1759, 0.1274, 0.2691], [0.6759, 0.2691, 0.1274], [0.8241, 0.8726, 0.7309], [0.2500, 0.9675, 0.0325], [0.7500, 0.0325, 0.9675], [0.2693, 0.5336, 0.6852], [0.2307, 0.3148, 0.4664], [0.7307, 0.4664, 0.3148], [0.7693, 0.6852, 0.5336]],
  "vol_a3_per_cell": 282,
  "dos_at_fermi_per_ev_fu": 1.80
}

It is <A> that is the least stable of them.

<A>
{
  "formula": "Zn4CuAg2",
  "functional": "PBE",
  "state": "relaxed",
  "lattice": [[-0.0370, -2.2829, -1.5750], [-3.4982, -3.0968, 4.5707], [-3.4942, 4.4921, -3.9863]],
  "species": ["Zn", "Zn", "Zn", "Zn", "Cu", "Ag", "Ag"],
  "frac_coords": [[0.9142, 0.2822, 0.8284], [0.0858, 0.7178, 0.1716], [0.6054, 0.3711, 0.2107], [0.3946, 0.6289, 0.7893], [0.0000, 0.0000, 0.0000], [0.7768, 0.8167, 0.5537], [0.2232, 0.1833, 0.4463]],
  "vol_a3_per_cell": 110,
  "dos_at_fermi_per_ev_fu": 2.06
}

<B>
{
  "formula": "Zn4CuAg2",
  "functional": "PBE",
  "state": "relaxed",
  "lattice": [[-6.4768, -2.8136, -1.8627], [3.3732, -4.0498, 4.0208], [-0.6410, 4.5455, 3.1531]],
  "species": ["Zn", "Zn", "Zn", "Zn", "Zn", "Zn", "Zn", "Zn", "Ag", "Ag", "Ag", "Ag", "Cu", "Cu"],
  "frac_coords": [[0.8080, 0.1692, 0.6493], [0.5296, 0.7702, 0.6552], [0.3367, 0.0458, 0.3696], [0.8183, 0.1842, 0.1464], [0.0761, 0.6304, 0.8667], [0.9401, 0.8910, 0.4026], [0.2296, 0.3639, 0.1425], [0.3433, 0.0506, 0.8709], [0.6735, 0.4574, 0.3982], [0.2251, 0.3560, 0.6373], [0.6923, 0.4792, 0.9136], [0.5120, 0.7852, 0.1506], [0.1159, 0.6392, 0.3891], [0.9494, 0.9276, 0.9080]],
  "vol_a3_per_cell": 215,
  "dos_at_fermi_per_ev_fu": 1.82
}

It is <A> that is the least stable of them.

<A>
{
  "formula": "Zn6CuAg",
  "functional": "PBE",
  "state": "relaxed",
  "lattice": [[3.3494, 0.0000, 0.0000], [0.0000, 5.8887, -0.6629], [0.0000, 0.6633, 5.8887]],
  "species": ["Zn", "Zn", "Zn", "Zn", "Zn", "Zn", "Cu", "Ag"],
  "frac_coords": [[0.5000, 0.0000, 0.5000], [0.5000, 0.5000, 0.0000], [0.0000, 0.2380, 0.2380], [0.0000, 0.7620, 0.7620], [0.0000, 0.7619, 0.2381], [0.0000, 0.2381, 0.7619], [0.5000, 0.0000, 0.0000], [0.5000, 0.5000, 0.5000]],
  "vol_a3_per_cell": 118,
  "dos_at_fermi_per_ev_fu": 1.34
}

<B>
{
  "formula": "Zn6CuAg",
  "functional": "PBE",
  "state": "relaxed",
  "lattice": [[3.8945, 0.0000, 0.0000], [0.0000, 3.8945, 0.0000], [0.0000, 0.0000, 7.7950]],
  "species": ["Zn", "Zn", "Zn", "Zn", "Zn", "Zn", "Cu", "Ag"],
  "frac_coords": [[0.5000, 0.5000, 0.0000], [0.5000, 0.5000, 0.5000], [0.5000, 0.0000, 0.2633], [0.5000, 0.0000, 0.7367], [0.0000, 0.5000, 0.2633], [0.0000, 0.5000, 0.7367], [0.0000, 0.0000, 0.5000], [0.0000, 0.0000, 0.0000]],
  "vol_a3_per_cell": 118,
  "dos_at_fermi_per_ev_fu": 3.07
}

It is <B> that is the least stable of them.

<A>
{
  "formula": "Zn4CuAg3",
  "functional": "PBE",
  "state": "relaxed",
  "lattice": [[2.8890, 0.0000, 0.0000], [0.0000, 2.8890, 0.0000], [0.0000, 0.0000, 14.8806]],
  "species": ["Zn", "Zn", "Zn", "Zn", "Ag", "Ag", "Ag", "Cu"],
  "frac_coords": [[0.0000, 0.0000, 0.8937], [0.0000, 0.0000, 0.1063], [0.0000, 0.0000, 0.3688], [0.0000, 0.0000, 0.6312], [0.5000, 0.5000, 0.2377], [0.5000, 0.5000, 0.5000], [0.5000, 0.5000, 0.7623], [0.5000, 0.5000, 0.0000]],
  "vol_a3_per_cell": 124,
  "dos_at_fermi_per_ev_fu": 1.89
}

<B>
{
  "formula": "Zn4CuAg3",
  "functional": "PBE",
  "state": "relaxed",
  "lattice": [[4.4888, 0.0000, 0.0000], [0.0000, 5.3066, 0.0000], [-2.2444, -2.6533, 5.8713]],
  "species": ["Zn", "Zn", "Zn", "Zn", "Cu", "Ag", "Ag", "Ag"],
  "frac_coords": [[0.3255, 0.0882, 0.6511], [0.6745, 0.9118, 0.3489], [0.6745, 0.4371, 0.3489], [0.3255, 0.5629, 0.6511], [0.5000, 0.0000, 0.0000], [0.1219, 0.1219, 0.2437], [0.8781, 0.8781, 0.7563], [0.0000, 0.5000, 0.0000]],
  "vol_a3_per_cell": 140,
  "dos_at_fermi_per_ev_fu": 2.46
}

It is <B> that is the least stable of them.

<A>
{
  "formula": "Zn3CuAg",
  "functional": "PBE",
  "state": "relaxed",
  "lattice": [[-1.4309, -0.5044, -3.5826], [2.8464, -4.6846, -0.4772], [-10.6310, -6.9923, 5.2305]],
  "species": ["Zn", "Zn", "Zn", "Zn", "Zn", "Zn", "Zn", "Zn", "Zn", "Zn", "Zn", "Zn", "Cu", "Cu", "Cu", "Cu", "Ag", "Ag", "Ag", "Ag"],
  "frac_coords": [[0.7500, 0.3619, 0.2541], [0.2500, 0.6429, 0.9535], [0.2500, 0.1037, 0.1410], [0.2500, 0.6037, 0.3590], [0.2500, 0.1429, 0.5465], [0.7500, 0.3963, 0.6410], [0.2500, 0.1381, 0.7541], [0.7500, 0.8963, 0.8590], [0.7500, 0.3571, 0.0465], [0.7500, 0.8619, 0.2459], [0.7500, 0.8571, 0.4535], [0.2500, 0.6381, 0.7459], [0.2500, 0.6232, 0.5468], [0.7500, 0.3768, 0.4532], [0.7500, 0.8768, 0.0468], [0.2500, 0.1232, 0.9532], [0.2500, 0.1056, 0.3489], [0.7500, 0.8944, 0.6511], [0.7500, 0.3944, 0.8489], [0.2500, 0.6056, 0.1511]],
  "vol_a3_per_cell": 295,
  "dos_at_fermi_per_ev_fu": 1.25
}

<B>
{
  "formula": "Zn3CuAg",
  "functional": "PBE",
  "state": "relaxed",
  "lattice": [[-5.3113, -0.7329, -2.4287], [2.0175, -6.4099, -2.4775], [-2.3411, -3.0523, 6.0414]],
  "species": ["Zn", "Zn", "Zn", "Zn", "Zn", "Zn", "Zn", "Zn", "Zn", "Zn", "Zn", "Zn", "Cu", "Cu", "Cu", "Cu", "Ag", "Ag", "Ag", "Ag"],
  "frac_coords": [[0.6243, 0.1130, 0.0967], [0.8757, 0.9033, 0.8870], [0.3757, 0.8870, 0.9033], [0.1243, 0.0967, 0.1130], [0.6423, 0.5942, 0.9058], [0.8577, 0.0941, 0.4058], [0.3577, 0.4058, 0.0942], [0.1423, 0.9059, 0.5942], [0.6243, 0.4033, 0.3870], [0.8757, 0.6130, 0.5968], [0.3757, 0.5967, 0.6130], [0.1243, 0.3870, 0.4032], [0.8913, 0.3949, 0.1051], [0.6087, 0.8949, 0.6051], [0.1087, 0.6051, 0.8949], [0.3913, 0.1051, 0.3949], [0.2500, 0.2471, 0.7529], [0.7500, 0.7529, 0.2471], [0.2500, 0.7470, 0.2530], [0.7500, 0.2530, 0.7470]],
  "vol_a3_per_cell": 302,
  "dos_at_fermi_per_ev_fu": 0.83
}

It is <B> that is the least stable of them.

<A>
{
  "formula": "ZnCu2Ag2",
  "functional": "PBE",
  "state": "relaxed",
  "lattice": [[6.3107, 0.0000, 0.0000], [0.0000, 6.3107, 0.0000], [0.0000, 0.0000, 3.9363]],
  "species": ["Zn", "Zn", "Cu", "Cu", "Cu", "Cu", "Ag", "Ag", "Ag", "Ag"],
  "frac_coords": [[0.0000, 0.0000, 0.0000], [0.5000, 0.5000, 0.0000], [0.3657, 0.8657, 0.0000], [0.8657, 0.6343, 0.0000], [0.6343, 0.1343, 0.0000], [0.1343, 0.3657, 0.0000], [0.1671, 0.6671, 0.5000], [0.6671, 0.8329, 0.5000], [0.8329, 0.3329, 0.5000], [0.3329, 0.1671, 0.5000]],
  "vol_a3_per_cell": 157,
  "dos_at_fermi_per_ev_fu": 1.66
}

<B>
{
  "formula": "ZnCu2Ag2",
  "functional": "PBE",
  "state": "relaxed",
  "lattice": [[7.0953, 0.0000, 0.0000], [0.0000, 7.0953, 0.0000], [0.0000, 0.0000, 3.2025]],
  "species": ["Zn", "Zn", "Cu", "Cu", "Cu", "Cu", "Ag", "Ag", "Ag", "Ag"],
  "frac_coords": [[0.0000, 0.0000, 0.0000], [0.5000, 0.5000, 0.0000], [0.1523, 0.6523, 0.5000], [0.6523, 0.8477, 0.5000], [0.8477, 0.3477, 0.5000], [0.3477, 0.1523, 0.5000], [0.3548, 0.8548, 0.0000], [0.8548, 0.6452, 0.0000], [0.6452, 0.1452, 0.0000], [0.1452, 0.3548, 0.0000]],
  "vol_a3_per_cell": 161,
  "dos_at_fermi_per_ev_fu": 1.73
}

<C>
{
  "formula": "ZnCu2Ag2",
  "functional": "PBE",
  "state": "relaxed",
  "lattice": [[-0.7114, -0.9717, -3.1589], [2.7536, -1.9612, -0.0168], [-2.8424, -6.9129, 0.9576]],
  "species": ["Zn", "Cu", "Cu", "Ag", "Ag"],
  "frac_coords": [[0.0000, 0.0000, 0.0000], [0.7500, 0.2500, 0.5000], [0.2500, 0.7500, 0.5000], [0.4000, 0.4000, 0.1999], [0.6000, 0.6000, 0.8001]],
  "vol_a3_per_cell": 82,
  "dos_at_fermi_per_ev_fu": 1.54
}

It is <B> that is the least stable of them.

<A>
{
  "formula": "ZnCu4Ag",
  "functional": "PBE",
  "state": "relaxed",
  "lattice": [[-2.2927, -3.1771, 2.9334], [0.2967, 0.5027, 4.8595], [-3.9234, 1.4224, 2.5572]],
  "species": ["Zn", "Cu", "Cu", "Cu", "Cu", "Ag"],
  "frac_coords": [[0.7500, 0.7500, 0.7500], [0.8743, 0.3752, 0.3752], [0.3752, 0.3752, 0.8743], [0.3752, 0.8743, 0.3752], [0.3752, 0.3752, 0.3752], [0.0000, 0.0000, 0.0000]],
  "vol_a3_per_cell": 83,
  "dos_at_fermi_per_ev_fu": 2.77
}

<B>
{
  "formula": "ZnCu4Ag",
  "functional": "PBE",
  "state": "relaxed",
  "lattice": [[2.6149, 0.0000, 0.0000], [0.0000, 7.3957, 0.0000], [0.0000, 0.0000, 8.6762]],
  "species": ["Zn", "Zn", "Cu", "Cu", "Cu", "Cu", "Cu", "Cu", "Cu", "Cu", "Ag", "Ag"],
  "frac_coords": [[0.4233, 0.5000, 0.3808], [0.9233, 0.0000, 0.6192], [0.9198, 0.8009, 0.3785], [0.4198, 0.6991, 0.6215], [0.4132, 0.6797, 0.1313], [0.9132, 0.8203, 0.8687], [0.9132, 0.1797, 0.8687], [0.4132, 0.3203, 0.1313], [0.4198, 0.3009, 0.6215], [0.9198, 0.1991, 0.3785], [0.9137, 0.0000, 0.1284], [0.4137, 0.5000, 0.8716]],
  "vol_a3_per_cell": 168,
  "dos_at_fermi_per_ev_fu": 1.54
}

It is <B> that is the least stable of them.

<A>
{
  "formula": "Zn8Cu2Ag",
  "functional": "PBE",
  "state": "relaxed",
  "lattice": [[-3.5361, 3.0544, -0.3240], [-5.6851, -3.0895, -1.4172], [-3.9259, -2.1890, 5.0420]],
  "species": ["Zn", "Zn", "Zn", "Zn", "Zn", "Zn", "Zn", "Zn", "Cu", "Cu", "Ag"],
  "frac_coords": [[0.8368, 0.0944, 0.2288], [0.8368, 0.3232, 0.7712], [0.2832, 0.4200, 0.0000], [0.5000, 0.7701, 0.4598], [0.5000, 0.2299, 0.5402], [0.7168, 0.5800, 0.0000], [0.1632, 0.6768, 0.2288], [0.1632, 0.9056, 0.7712], [0.0000, 0.3014, 0.3973], [0.0000, 0.6986, 0.6027], [0.5000, 0.0000, 0.0000]],
  "vol_a3_per_cell": 170,
  "dos_at_fermi_per_ev_fu": 2.66
}

<B>
{
  "formula": "Zn8Cu2Ag",
  "functional": "PBE",
  "state": "relaxed",
  "lattice": [[-0.9476, -1.4515, -3.5180], [5.5742, -2.6319, -0.4155], [-3.8154, -3.7685, 4.7686]],
  "species": ["Zn", "Zn", "Zn", "Zn", "Zn", "Zn", "Zn", "Zn", "Cu", "Cu", "Ag"],
  "frac_coords": [[0.5994, 0.4667, 0.1988], [0.3146, 0.0861, 0.6292], [0.1431, 0.2019, 0.2861], [0.0503, 0.7220, 0.1005], [0.8569, 0.7981, 0.7139], [0.6854, 0.9139, 0.3708], [0.4006, 0.5333, 0.8012], [0.9497, 0.2780, 0.8995], [0.2288, 0.6420, 0.4576], [0.7712, 0.3580, 0.5424], [0.5000, 0.0000, 0.0000]],
  "vol_a3_per_cell": 159,
  "dos_at_fermi_per_ev_fu": 2.51
}

It is <A> that is the least stable of them.

<A>
{
  "formula": "Zn12Cu2Ag5",
  "functional": "PBE",
  "state": "relaxed",
  "lattice": [[4.8134, -0.0731, 0.9427], [1.0346, 7.3206, 3.4950], [0.0021, -0.4447, 8.1657]],
  "species": ["Zn", "Zn", "Zn", "Zn", "Zn", "Zn", "Zn", "Zn", "Zn", "Zn", "Zn", "Zn", "Cu", "Cu", "Ag", "Ag", "Ag", "Ag", "Ag"],
  "frac_coords": [[0.0175, 0.8940, 0.8940], [0.1980, 0.5574, 0.0514], [0.1980, 0.0514, 0.5574], [0.6130, 0.6490, 0.1497], [0.6130, 0.1497, 0.6490], [0.2901, 0.4482, 0.4482], [0.7099, 0.5518, 0.5518], [0.3870, 0.3510, 0.8503], [0.3870, 0.8503, 0.3510], [0.8020, 0.4426, 0.9486], [0.8020, 0.9486, 0.4426], [0.9825, 0.1060, 0.1060], [0.0000, 0.2494, 0.7506], [0.0000, 0.7506, 0.2494], [0.4569, 0.2221, 0.2221], [0.8844, 0.3374, 0.3374], [0.5000, 0.0000, 0.0000], [0.1156, 0.6626, 0.6626], [0.5431, 0.7779, 0.7779]],
  "vol_a3_per_cell": 295,
  "dos_at_fermi_per_ev_fu": 3.31
}

<B>
{
  "formula": "Zn12Cu2Ag5",
  "functional": "PBE",
  "state": "relaxed",
  "lattice": [[-0.0215, 4.5390, 2.3481], [-5.6646, -0.7654, -4.1335], [-3.5560, -4.2411, 8.1660]],
  "species": ["Zn", "Zn", "Zn", "Zn", "Zn", "Zn", "Zn", "Zn", "Zn", "Zn", "Zn", "Zn", "Cu", "Cu", "Ag", "Ag", "Ag", "Ag", "Ag"],
  "frac_coords": [[0.9838, 0.9676, 0.2168], [0.0826, 0.6670, 0.8292], [0.5844, 0.6670, 0.8292], [0.0988, 0.6907, 0.3392], [0.5918, 0.6907, 0.3392], [0.4954, 0.9908, 0.7508], [0.5046, 0.0092, 0.2492], [0.9012, 0.3093, 0.6608], [0.4082, 0.3093, 0.6608], [0.9174, 0.3330, 0.1708], [0.4156, 0.3330, 0.1708], [0.0162, 0.0324, 0.7832], [0.7459, 0.0000, 0.0000], [0.2541, 0.0000, 0.0000], [0.3149, 0.6298, 0.5706], [0.3209, 0.6417, 0.0709], [0.0000, 0.0000, 0.5000], [0.6791, 0.3583, 0.9291], [0.6851, 0.3702, 0.4294]],
  "vol_a3_per_cell": 327,
  "dos_at_fermi_per_ev_fu": 6.11
}

It is <B> that is the least stable of them.